# Ta2ReW

A geometry-optimized Ta2ReW structure (GGA-PBEsol, Alexandria via LeMat-Bulk).

Calculated values
- calculated total energy (eV/cell) = -51.416
- space group = R-3m
- DOS(E_F) (states/eV/f.u.) = 3.4

Cell and atoms, written as extended XYZ:
```
4
Lattice="-1.004 1.659 -2.306 -1.959 -1.178 -1.963 -7.448 2.913 3.371" Properties=species:S:1:pos:R:3 pbc="T T T"
Re 0.000 0.000 0.000
Ta -2.579 0.838 -0.242
Ta -7.832 2.556 -0.656
W -5.205 1.697 -0.449
```

---

# Cs3SbBr6

A geometry-optimized Cs3SbBr6 structure (GGA-PBEsol, Alexandria via LeMat-Bulk).

Calculated values
- calculated total energy (eV/cell) = -31.497
- space group = Fm-3m
- DOS(E_F) (states/eV/f.u.) = 0.0

Cell and atoms, written as extended XYZ:
```
10
Lattice="-2.294 -5.922 -5.810 -6.021 -5.834 1.948 -7.748 0.403 -3.727" Properties=species:S:1:pos:R:3 pbc="T T T"
Cs -12.048 -8.515 -5.691
Cs -4.016 -2.838 -1.897
Cs -8.032 -5.677 -3.794
Sb 0.000 0.000 0.000
Br -4.911 -5.810 -4.891
Br -8.186 -8.984 -3.831
Br -11.153 -5.543 -2.698
Br -9.125 -5.591 -6.918
Br -6.938 -5.762 -0.671
Br -7.878 -2.370 -3.758
```

---

Which of these has the highest calculated total energy? Cs3SbBr6